1.
A relaxed structure of Be2CdAg. Source: Alexandria, functional PBE.

## Properties
Volume in Å³/atom: 14.47
Density in g/cm3: 6.84
Final energy in eV/cell: -9.461
ΔH_f (0 K) in eV/atom: 0.440
Spin magnetization in μB/cell: 0.00

a b c (Å): 4.342 4.342 4.342
angles (deg): 60.00 60.00 60.00
Positions (direct):
Be (0.250, 0.250, 0.250)
Cd (0.750, 0.750, 0.750)
Be (0.000, 0.000, 0.000)
Ag (0.500, 0.500, 0.500)

***

2.
A relaxed structure of ZrReSe2. Source: Alexandria, functional PBE.

## Properties
Volume in Å³/atom: 19.52
Density in g/cm3: 9.26
Final energy in eV/cell: -28.035
ΔE_f (raw) in eV/atom: -0.02
Spin magnetization in μB/cell: 0.00
Polymorph energy (0 for the lowest one) in meV/atom: 403

a b c (Å): 8.951 8.951 8.951
angles (deg): 20.65 20.65 20.65
Positions (direct):
Zr (0.500, 0.500, 0.500)
Se (0.092, 0.092, 0.092)
Re (0.000, 0.000, 0.000)
Se (0.908, 0.908, 0.908)

***

3.
A relaxed structure of Ag3W. Source: Alexandria, functional PBE.

## Properties
Volume in Å³/atom: 17.09
Density in g/cm3: 12.32
Final energy in eV/cell: -19.826
ΔH_f (0 K) in eV/atom: 0.420
Spin magnetization in μB/cell: 0.00
Polymorph energy (0 for the lowest one) in meV/atom: 31

a b c (Å): 2.786 2.786 8.810
angles (deg): 90.00 90.00 90.00
Positions (direct):
Ag (0.000, 0.000, 0.503)
Ag (0.000, 0.000, 0.997)
Ag (0.500, 0.500, 0.250)
W (0.500, 0.500, 0.750)

***

4.
A relaxed structure of Tb3Ho3Ga4. Source: Alexandria, functional PBE.

## Properties
Volume in Å³/atom: 25.30
Density in g/cm3: 8.21
Final energy in eV/cell: -44.965
ΔH_f (0 K) in eV/atom: -0.523
Spin magnetization in μB/cell: 0.00

a b c (Å): 4.341 7.635 7.635
angles (deg): 89.80 90.00 90.00
Positions (direct):
Ga (0.000, 0.120, 0.119)
Ga (0.000, 0.379, 0.621)
Ho (0.000, 0.000, 0.500)
Ho (0.000, 0.500, 0.000)
Tb (0.500, 0.674, 0.675)
Ho (0.500, 0.175, 0.825)
Tb (0.500, 0.826, 0.174)
Ga (0.000, 0.620, 0.380)
Ga (0.000, 0.881, 0.880)
Tb (0.500, 0.325, 0.326)

***

5.
A relaxed structure of Co2TcB. Source: Alexandria, functional PBE.

## Properties
Volume in Å³/atom: 10.30
Density in g/cm3: 9.13
Final energy in eV/cell: -61.823
ΔH_f (0 K) in eV/atom: 0.086
Spin magnetization in μB/cell: 1.08

a b c (Å): 3.716 4.629 4.791
angles (deg): 90.00 90.00 90.00
Each line ends with the local moment (μB).
Positions (direct):
B (0.500, 0.000, 0.747)  -0.01
Co (0.000, 0.243, 0.857)  0.26
Co (0.000, 0.757, 0.857)  0.26
Co (0.500, 0.743, 0.143)  0.26
B (0.000, 0.500, 0.253)  -0.01
Co (0.500, 0.257, 0.143)  0.26
Tc (0.000, 0.000, 0.387)  0.03
Tc (0.500, 0.500, 0.613)  0.03

***

6.
A relaxed structure of CaAlIn. Source: Alexandria, functional PBE.

## Properties
Volume in Å³/atom: 27.59
Density in g/cm3: 3.65
Final energy in eV/cell: -8.604
ΔH_f (0 K) in eV/atom: -0.041
Spin magnetization in μB/cell: 0.00

a b c (Å): 3.721 3.721 6.903
angles (deg): 90.00 90.00 120.00
Positions (direct):
In (0.667, 0.333, 0.697)
Ca (0.333, 0.667, 0.324)
Al (0.000, 0.000, 0.979)